Entry from the Alexandria database: a geometry-optimized CdSbIrO6 structure (PBE).

The structure belongs to space group P-31c (No. 163); the cell edges are 5.3181, 5.3181 and 9.6804 Å and the angles 90.00°, 90.00° and 120.00°. The inequivalent atoms are Cd at (0.0000, 0.0000, 0.0000), Sb at (0.3333, 0.6667, 0.2500), Ir at (0.3333, 0.6667, 0.7500) and O at (0.0069, 0.3677, 0.6389).

The mass density comes out at 7.3 g cm⁻³. Its density of states at the Fermi level is 6.08 states/eV/cell. For the raw formation energy, the calculation gives -1.05 eV/atom.

=====

Entry from the Alexandria database: a geometry-optimized RbNaAu2O structure (PBE).

The structure belongs to space group P4/mmm (No. 123); the cell edges are 4.7138, 4.7138 and 5.2654 Å and the angles 90.00°, 90.00° and 90.00°. The inequivalent atoms are Rb at (0.0000, 0.0000, 0.0000), Na at (0.5000, 0.5000, 0.0000), Au at (0.0000, 0.5000, 0.5000) and O at (0.0000, 0.0000, 0.5000).

The mass density comes out at 7.4 g cm⁻³. Its density of states at the Fermi level is 1.32 states/eV/cell. For the raw formation energy, the calculation gives -0.08 eV/atom.

=====

Entry from the Alexandria database: a geometry-optimized Na3Er3BiTe8 structure (PBE).

The structure belongs to space group C2/m (No. 12); the cell edges are 15.1435, 8.7093 and 9.1900 Å and the angles 90.00°, 123.43° and 90.00°. The inequivalent atoms are Na at (0.0000, 0.0000, 0.0000), Na at (0.2500, 0.2500, 0.0000), Er at (0.0000, 0.5000, 0.5000), Er at (0.2500, 0.2500, 0.5000), Bi at (0.0000, 0.0000, 0.5000), Te at (0.0081, 0.2579, 0.2665), Te at (0.2436, 0.5000, 0.7308) and Te at (0.2498, 0.0000, 0.7336).

The mass density comes out at 5.9 g cm⁻³. Its density of states at the Fermi level is 19.86 states/eV/cell. For the raw formation energy, the calculation gives -1.04 eV/atom.

=====

Entry from the Alexandria database: a geometry-optimized Be2BiC structure (PBE).

The structure belongs to space group Fm-3m (No. 225); the cell edges are 6.1070, 6.1070 and 6.1070 Å and the angles 90.00°, 90.00° and 90.00°. The inequivalent atoms are Be at (0.2500, 0.2500, 0.2500), Bi at (0.0000, 0.0000, 0.0000) and C at (0.0000, 0.0000, 0.5000).

The mass density comes out at 7.0 g cm⁻³. The energy of formation from the pure elements is 698 kJ/mol of formula units. Its density of states at the Fermi level is 6.31 states/eV/cell. The calculation puts the relative energy among the computed polymorphs at 531 kJ/mol of formula units.

=====

Entry from the Alexandria database: a geometry-optimized Tl3Cd structure (PBE).

The structure belongs to space group C2/m (No. 12); the cell edges are 11.4319, 3.3276 and 6.2615 Å and the angles 90.00°, 102.14° and 90.00°. The inequivalent atoms are Tl at (0.0000, 0.0000, 0.0000), Tl at (0.2426, 0.0000, 0.7430) and Cd at (0.0000, 0.5000, 0.5000).

The mass density comes out at 10.3 g cm⁻³. The energy of formation from the pure elements is 18 kJ/mol of formula units. Its density of states at the Fermi level is 3.81 states/eV/cell.

=====

Entry from the Alexandria database: a geometry-optimized Pr2ErScSe4 structure (PBE).

The structure belongs to space group P2/m (No. 10); the cell edges are 7.0106, 4.0303 and 7.3507 Å and the angles 90.00°, 108.41° and 90.00°. The inequivalent atoms are Pr at (0.0000, 0.0000, 0.0000), Pr at (0.5000, 0.5000, 0.0000), Er at (0.0000, 0.5000, 0.5000), Sc at (0.5000, 0.0000, 0.5000), Se at (0.2472, 0.0000, 0.7251) and Se at (0.2656, 0.5000, 0.2789).

The mass density comes out at 6.8 g cm⁻³. Its density of states at the Fermi level is 3.76 states/eV/cell. For the raw formation energy, the calculation gives -1.74 eV/atom.

=====

Entry from the Alexandria database: a geometry-optimized CsHfZnIn2 structure (PBE).

The structure belongs to space group P4/mmm (No. 123); the cell edges are 5.6583, 5.6583 and 6.9276 Å and the angles 90.00°, 90.00° and 90.00°. The inequivalent atoms are Cs at (0.0000, 0.0000, 0.0000), Hf at (0.0000, 0.0000, 0.5000), Zn at (0.5000, 0.5000, 0.0000) and In at (0.0000, 0.5000, 0.5000).

The mass density comes out at 4.5 g cm⁻³. The energy of formation from the pure elements is 403 kJ/mol of formula units. Its density of states at the Fermi level is 6.15 states/eV/cell.

=====

Entry from the Alexandria database: a geometry-optimized AgIrF2 structure (PBE).

The structure belongs to space group R-3m (No. 166, hexagonal axes); the cell edges are 2.7929, 2.7929 and 24.6830 Å and the angles 90.00°, 90.00° and 120.00°. The inequivalent atoms are Ag at (0.0000, 0.0000, 0.0000), Ir at (0.0000, 0.0000, 0.5000) and F at (0.0000, 0.0000, 0.0871).

The mass density comes out at 10.1 g cm⁻³. Its density of states at the Fermi level is 7.77 states/eV/cell. The calculation puts the relative energy among the computed polymorphs at 0 kJ/mol of formula units. For the raw formation energy, the calculation gives -0.19 eV/atom.

=====

Entry from the Alexandria database: a geometry-optimized YSbPb4 structure (PBE).

The structure belongs to space group F-43m (No. 216); the cell edges are 9.0741, 9.0741 and 9.0741 Å and the angles 90.00°, 90.00° and 90.00°. The inequivalent atoms are Y at (0.0000, 0.0000, 0.0000), Sb at (0.2500, 0.2500, 0.2500) and Pb at (0.1253, 0.1253, 0.6253).

The mass density comes out at 9.2 g cm⁻³. Its density of states at the Fermi level is 20.60 states/eV/cell. For the raw formation energy, the calculation gives 0.05 eV/atom.

=====

Entry from the Alexandria database: a geometry-optimized ErThMgTl structure (PBE).

The structure belongs to space group F-43m (No. 216); the cell edges are 7.6350, 7.6350 and 7.6350 Å and the angles 90.00°, 90.00° and 90.00°. The inequivalent atoms are Er at (0.0000, 0.0000, 0.0000), Th at (0.0000, 0.0000, 0.5000), Mg at (0.2500, 0.2500, 0.7500) and Tl at (0.2500, 0.2500, 0.2500).

The mass density comes out at 9.4 g cm⁻³. The energy of formation from the pure elements is -33 kJ/mol of formula units. Its density of states at the Fermi level is 13.29 states/eV/cell.

=====

What did the fourth record say?
Entry from the Alexandria database: a geometry-optimized Be2BiC structure (PBE).

The structure belongs to space group Fm-3m (No. 225); the cell edges are 6.1070, 6.1070 and 6.1070 Å and the angles 90.00°, 90.00° and 90.00°. The inequivalent atoms are Be at (0.2500, 0.2500, 0.2500), Bi at (0.0000, 0.0000, 0.0000) and C at (0.0000, 0.0000, 0.5000).

The mass density comes out at 7.0 g cm⁻³. The energy of formation from the pure elements is 698 kJ/mol of formula units. Its density of states at the Fermi level is 6.31 states/eV/cell. The calculation puts the relative energy among the computed polymorphs at 531 kJ/mol of formula units.

=====

Which of these has the lowest mass density? CsHfZnIn2